Computed, not measured: crystalline LiGeB2F at its relaxed geometry at the PBE-GGA level of DFT.

Properties
Calculated volume, Å³ per cell: 58.6
Density of states at the Fermi level, states/eV/atom: 0.308
Formation energy (no corrections), eV/atom: 0.6014
VASP energy, eV per atom: -3.750

Cell lengths 4.136, 3.428, 4.136 Å; angles 90.00, 90.00, 90.00 degrees
Atoms (fractional coordinates):
B (0.500, 0.000, 0.000)
F (0.000, 0.000, 0.000)
Ge (0.500, 0.500, 0.500)
B (0.000, 0.000, 0.500)
Li (0.000, 0.500, 0.000)

***

Computed, not measured: crystalline HoMgGaPb at its relaxed geometry at the PBE-GGA level of DFT.

Properties
Calculated volume, Å³ per cell: 97.7
Density of states at the Fermi level, states/eV/atom: 0.850
VASP energy, eV per atom: -3.445
ΔE_f, eV/f.u.: -0.9

Cell lengths 5.170, 5.170, 5.170 Å; angles 60.00, 60.00, 60.00 degrees
Atoms (fractional coordinates):
Mg (0.500, 0.500, 0.500)
Ho (0.000, 0.000, 0.000)
Ga (0.250, 0.250, 0.250)
Pb (0.750, 0.750, 0.750)

***

Computed, not measured: crystalline CuIF at its relaxed geometry at the PBE-GGA level of DFT.

Properties
Calculated volume, Å³ per cell: 61.4
Density of states at the Fermi level, states/eV/atom: 1.169
Distance to the lowest polymorph of the same formula, meV per atom: 132
Formation energy (no corrections), eV/atom: -0.6309
VASP energy, eV per atom: -3.137

Cell lengths 3.514, 3.514, 5.744 Å; angles 90.00, 90.00, 120.00 degrees
Atoms (fractional coordinates):
Cu (0.667, 0.333, 0.392)
I (0.000, 0.000, 0.075)
F (0.333, 0.667, 0.533)